# Nd2Tm, relaxed, DFT PBE-GGA
# Fermi-level density of states, states/eV/f.u.: 5.2
# Magnetization, μB/f.u.: 0.0
# Total energy, eV per atom: -4.64
# Density, Mg/m³: 7.48
data_Nd2Tm
_chemical_formula_sum 'Nd4 Tm2'
_cell_length_a 3.675
_cell_length_b 8.613
_cell_length_c 6.860
_cell_angle_alpha 103.33
_cell_angle_beta 105.54
_cell_angle_gamma 90.00
_space_group_name_H-M_alt 'P 1'
_space_group_IT_number 1
loop_
_space_group_symop_operation_xyz
'x,y,z'
loop_
_atom_site_label
_atom_site_fract_x
_atom_site_fract_y
_atom_site_fract_z
Nd1 0.970 0.704 0.940
Nd2 0.030 0.296 0.060
Nd3 0.307 0.359 0.614
Nd4 0.693 0.641 0.386
Tm1 0.360 0.976 0.719
Tm2 0.640 0.024 0.281